(1)
A PBEsol-optimized structure of ReCBr3. Source: Alexandria via LeMat-Bulk, functional SCAN.

Lattice parameters (Å, degrees): 4.677 4.677 4.677 90.00 90.00 90.00
Space group Pm-3m (No. 221)
Inequivalent atoms, fractional coordinates:
Re  0.000  0.000  0.000 (multiplicity 1)
C  0.500  0.500  0.500 (multiplicity 1)
Br  0.000  0.500  0.500 (multiplicity 3)

## Properties
Formation energy (no corrections) ... 2.013 eV/atom
Electronic total energy ... -129.51 eV/f.u.

---

(2)
A PBEsol-optimized structure of RhCSe2Br. Source: Alexandria via LeMat-Bulk, functional SCAN.

Lattice parameters (Å, degrees): 4.335 4.335 4.272 90.00 90.00 90.00
Space group P4/mmm (No. 123)
Inequivalent atoms, fractional coordinates:
Rh  0.000  0.000  0.000 (multiplicity 1)
C  0.500  0.500  0.500 (multiplicity 1)
Se  0.000  0.500  0.500 (multiplicity 2)
Br  0.500  0.500  0.000 (multiplicity 1)

## Properties
Formation energy (no corrections) ... 1.491 eV/atom
Electronic total energy ... -96.03 eV/f.u.

---

(3)
A PBEsol-optimized structure of CSeSBr2. Source: Alexandria via LeMat-Bulk, functional SCAN.

Lattice parameters (Å, degrees): 4.914 4.914 4.899 90.00 90.00 90.00
Space group P4/mmm (No. 123)
Inequivalent atoms, fractional coordinates:
C  0.000  0.000  0.000 (multiplicity 1)
Se  0.500  0.500  0.000 (multiplicity 1)
S  0.500  0.500  0.500 (multiplicity 1)
Br  0.000  0.500  0.500 (multiplicity 2)

## Properties
Formation energy (no corrections) ... 1.789 eV/atom
Electronic total energy ... -69.78 eV/f.u.

---

(4)
A PBEsol-optimized structure of TlCSBr2. Source: Alexandria via LeMat-Bulk, functional SCAN.

Lattice parameters (Å, degrees): 4.305 4.305 5.562 90.00 90.00 90.00
Space group P4/mmm (No. 123)
Inequivalent atoms, fractional coordinates:
Tl  0.000  0.000  0.000 (multiplicity 1)
C  0.000  0.000  0.500 (multiplicity 1)
S  0.500  0.500  0.000 (multiplicity 1)
Br  0.000  0.500  0.500 (multiplicity 2)

## Properties
Formation energy (no corrections) ... 1.124 eV/atom
Electronic total energy ... -125.38 eV/f.u.

---

(5)
A PBEsol-optimized structure of Sb2CBr. Source: Alexandria via LeMat-Bulk, functional SCAN.

Lattice parameters (Å, degrees): 7.151 7.151 6.891 90.00 90.00 90.00
Space group I-42d (No. 122)
Inequivalent atoms, fractional coordinates:
Sb  0.155  0.750  0.125 (multiplicity 8)
C  0.000  0.000  0.000 (multiplicity 4)
Br  0.000  0.000  0.500 (multiplicity 4)

## Properties
Relative energy among the computed polymorphs ... 0.0000 eV per atom
Formation energy (no corrections) ... 0.862 eV/atom
Electronic total energy ... -100.63 eV/f.u.

---

(6)
A PBEsol-optimized structure of Sb2CBr. Source: Alexandria via LeMat-Bulk, functional SCAN.

Lattice parameters (Å, degrees): 6.827 6.827 6.827 90.00 90.00 90.00
Space group Fm-3m (No. 225)
Inequivalent atoms, fractional coordinates:
Sb  0.250  0.250  0.250 (multiplicity 8)
C  0.000  0.000  0.000 (multiplicity 4)
Br  0.000  0.000  0.500 (multiplicity 4)

## Properties
Relative energy among the computed polymorphs ... 0.7490 eV per atom
Formation energy (no corrections) ... 1.611 eV/atom
Electronic total energy ... -97.64 eV/f.u.

---

(7)
A PBEsol-optimized structure of Sc7CBr12. Source: Alexandria via LeMat-Bulk, functional SCAN.

Lattice parameters (Å, degrees): 13.5446 13.5446 9.0831 90.00 90.00 120.00
Space group R3 (No. 146, hexagonal axes)
Inequivalent atoms, fractional coordinates:
Sc  0.0000  0.0000  0.0000 (multiplicity 3)
Sc  0.0427  0.8911  0.3308 (multiplicity 9)
Sc  0.1561  0.0441  0.6152 (multiplicity 9)
C  0.0000  0.0000  0.4789 (multiplicity 3)
Br  0.0241  0.4387  0.1407 (multiplicity 9)
Br  0.0505  0.8737  0.8126 (multiplicity 9)
Br  0.1025  0.7446  0.1452 (multiplicity 9)
Br  0.1886  0.0538  0.1437 (multiplicity 9)

## Properties
Formation energy (no corrections) ... -1.705 eV/atom
Electronic total energy ... -377.37 eV/f.u.

---

(8)
A PBEsol-optimized structure of SrCSeBr2. Source: Alexandria via LeMat-Bulk, functional SCAN.

Lattice parameters (Å, degrees): 4.912 4.912 4.482 90.00 90.00 90.00
Space group P4/mmm (No. 123)
Inequivalent atoms, fractional coordinates:
Sr  0.000  0.000  0.000 (multiplicity 1)
C  0.500  0.500  0.500 (multiplicity 1)
Se  0.500  0.500  0.000 (multiplicity 1)
Br  0.000  0.500  0.500 (multiplicity 2)

## Properties
Formation energy (no corrections) ... -0.121 eV/atom
Electronic total energy ... -91.98 eV/f.u.